[1]
First-principles (PBE) data for a geometry-optimized Tb2GdIn3Co2Cu structure, as listed in OQMD via LeMat-Bulk.

a = 3.9164 Å, b = 7.3843 Å, c = 7.3843 Å
α = 119.97°, β = 90.00°, γ = 90.00°
Positions (direct):
Co (0.5000, 0.6669, 0.3330)
Co (0.5000, 0.3330, 0.6669)
Cu (0.0000, 0.0004, 0.0004)
Gd (0.0000, 0.5864, 0.5864)
In (0.5000, 0.7423, 0.0008)
In (0.5000, 0.2570, 0.2570)
In (0.5000, 0.0008, 0.7423)
Tb (0.0000, 0.4132, 0.0000)
Tb (0.0000, 0.0000, 0.4132)

Values from the calculation:
Space-group type: Amm2 (38)
DFT total energy in eV for the cell shown: -43.1



[2]
First-principles (PBE) data for a geometry-optimized Gd2TmIn3Co2Cu structure, as listed in OQMD via LeMat-Bulk.

a = 3.8959 Å, b = 7.3770 Å, c = 7.3770 Å
α = 119.93°, β = 90.00°, γ = 90.00°
Positions (direct):
Co (0.5000, 0.6656, 0.3355)
Co (0.5000, 0.3355, 0.6656)
Cu (0.0000, 0.9983, 0.9983)
Gd (0.0000, 0.4139, 0.0002)
Gd (0.0000, 0.0002, 0.4139)
In (0.5000, 0.2598, 0.2598)
In (0.5000, 0.9977, 0.7419)
In (0.5000, 0.7419, 0.9977)
Tm (0.0000, 0.5871, 0.5871)

Values from the calculation:
Space-group type: Amm2 (38)
DFT total energy in eV for the cell shown: -42.9